Record 1
The following is a PBE calculation of crystalline Tb5Nd8Sm at its relaxed geometry, from Alexandria.

Calculated values
Final energy in eV per atom: -4.476

abc: 8.604 8.604 8.604
angles: 111.32 105.84 111.32
Positions (direct):
Sm  0.250  0.500  0.750
Tb  0.819  0.686  0.722
Tb  0.500  0.000  0.500
Tb  0.868  0.903  0.181
Tb  0.278  0.097  0.965
Tb  0.035  0.314  0.132
Nd  0.530  0.604  0.273
Nd  0.340  0.266  0.433
Nd  0.669  0.396  0.925
Nd  0.926  0.093  0.660
Nd  0.567  0.907  0.833
Nd  0.727  0.256  0.331
Nd  0.167  0.734  0.074
Nd  0.075  0.744  0.470


Record 2
The following is a PBE calculation of crystalline Mg2RuBr at its relaxed geometry, from Alexandria.

Calculated values
Energy above the most stable polymorph in this dataset in eV/f.u.: 0.79
E_form (uncorrected) in kJ/mol of atoms: -2

abc: 6.709 6.709 6.709
angles: 152.78 141.79 47.55
Positions (direct):
Mg  0.011  0.011  0.000
Mg  0.675  0.175  0.500
Ru  0.495  0.495  0.000
Br  0.320  0.820  0.500


Record 3
The following is a PBE calculation of crystalline Ca2HN at its relaxed geometry, from Alexandria.

Calculated values
Final energy in eV per atom: -4.531

abc: 5.238 5.238 6.778
angles: 67.27 67.27 90.00
Positions (direct):
N  0.750  0.250  0.500
N  0.000  0.000  0.000
Ca  0.647  0.125  0.250
Ca  0.375  0.353  0.750
Ca  0.103  0.625  0.250
Ca  0.875  0.897  0.750
H  0.500  0.500  0.000
H  0.250  0.750  0.500